Entry 1:
Te2AsNCl after structural relaxation, computed with PBE.

The structure belongs to space group P4/mmm (No. 123); the cell edges are 6.213, 6.213 and 3.239 Å and the angles 90.00°, 90.00° and 90.00°. Symmetry generates all atoms from Te at (0.000, 0.500, 0.000), As at (0.000, 0.000, 0.500), N at (0.500, 0.500, 0.500) and Cl at (0.500, 0.500, 0.000).

The uncorrected formation energy comes out at 1440 meV per atom. The value obtained for the energy above the most stable polymorph in this dataset is 2.99 eV/f.u. The density is 5.041 g cm⁻³. The size of the total moment is 0.000 μB per atom.

***

Entry 2:
TeAsN2Cl after structural relaxation, computed with PBE.

The structure belongs to space group P4/mmm (No. 123); the cell edges are 3.832, 3.832 and 6.168 Å and the angles 90.00°, 90.00° and 90.00°. Symmetry generates all atoms from Te at (0.000, 0.000, 0.000), As at (0.000, 0.000, 0.500), N at (0.000, 0.500, 0.500) and Cl at (0.500, 0.500, 0.000).

The uncorrected formation energy comes out at 1285 meV per atom. The value obtained for the energy above the most stable polymorph in this dataset is 0.00 eV/f.u. The density is 4.875 g cm⁻³. The size of the total moment is 0.151 μB per atom.

***

Entry 3:
TeAsN2Cl after structural relaxation, computed with PBE.

The structure belongs to space group P4/mmm (No. 123); the cell edges are 3.972, 3.972 and 7.752 Å and the angles 90.00°, 90.00° and 90.00°. Symmetry generates all atoms from Te at (0.000, 0.000, 0.000), As at (0.500, 0.500, 0.000), N at (0.000, 0.500, 0.500) and Cl at (0.000, 0.000, 0.500).

The uncorrected formation energy comes out at 2127 meV per atom. The value obtained for the energy above the most stable polymorph in this dataset is 4.21 eV/f.u. The density is 3.611 g cm⁻³. The size of the total moment is 0.649 μB per atom.

***

Entry 4:
Te2AsNCl after structural relaxation, computed with PBE.

The structure belongs to space group P4/mmm (No. 123); the cell edges are 5.819, 5.819 and 3.579 Å and the angles 90.00°, 90.00° and 90.00°. Symmetry generates all atoms from Te at (0.000, 0.500, 0.000), As at (0.000, 0.000, 0.000), N at (0.000, 0.000, 0.500) and Cl at (0.500, 0.500, 0.500).

The uncorrected formation energy comes out at 843 meV per atom. The value obtained for the energy above the most stable polymorph in this dataset is 0.00 eV/f.u. The density is 5.202 g cm⁻³. The size of the total moment is 0.165 μB per atom.

***

Entry 5:
NaAsCl4 after structural relaxation, computed with PBE.

The structure belongs to space group C2/c (No. 15); the cell edges are 8.152, 16.372 and 6.680 Å and the angles 90.00°, 126.59° and 90.00°. Symmetry generates all atoms from Na at (0.000, 0.074, 0.250), As at (0.000, 0.425, 0.750), Cl at (0.195, 0.330, 0.733) and Cl at (0.248, 0.446, 0.221).

The uncorrected formation energy comes out at -1043 meV per atom. The value obtained for the energy above the most stable polymorph in this dataset is 0.00 eV/f.u. The density is 2.224 g cm⁻³. The size of the total moment is 0.000 μB per atom.

***

Entry 6:
Na2AsCl6 after structural relaxation, computed with PBE.

The structure belongs to space group P2_1/c (No. 14); the cell edges are 6.716, 7.010 and 11.694 Å and the angles 90.00°, 122.49° and 90.00°. Symmetry generates all atoms from Na at (0.195, 0.083, 0.230), As at (0.500, 0.000, 0.000), Cl at (0.163, 0.191, 0.948), Cl at (0.257, 0.718, 0.931) and Cl at (0.402, 0.046, 0.772).

The uncorrected formation energy comes out at -1066 meV per atom. The value obtained for the energy above the most stable polymorph in this dataset is 0.00 eV/f.u. The density is 2.386 g cm⁻³. The size of the total moment is 0.070 μB per atom.

***

Entry 7:
Na4AsCl2 after structural relaxation, computed with PBE.

The structure belongs to space group I4/mmm (No. 139); the cell edges are 5.549, 5.549 and 14.805 Å and the angles 90.00°, 90.00° and 90.00°. Symmetry generates all atoms from Na at (0.000, 0.000, 0.189), Na at (0.000, 0.500, 0.000), As at (0.000, 0.000, 0.000) and Cl at (0.000, 0.000, 0.364).

The uncorrected formation energy comes out at -861 meV per atom. The density is 1.732 g cm⁻³. The size of the total moment is 0.144 μB per atom.

***

Entry 8:
Na3AsCl after structural relaxation, computed with PBE.

The structure belongs to space group Pm-3m (No. 221); the cell edges are 5.159, 5.159 and 5.159 Å and the angles 90.00°, 90.00° and 90.00°. Symmetry generates all atoms from Na at (0.000, 0.000, 0.500), As at (0.500, 0.500, 0.500) and Cl at (0.000, 0.000, 0.000).

The uncorrected formation energy comes out at -655 meV per atom. The value obtained for the energy above the most stable polymorph in this dataset is 0.00 eV/f.u. The density is 2.169 g cm⁻³. The size of the total moment is 0.200 μB per atom.

***

Entry 9:
NaAsCl2 after structural relaxation, computed with PBE.

The structure belongs to space group Fm-3m (No. 225); the cell edges are 7.105, 7.105 and 7.105 Å and the angles 90.00°, 90.00° and 90.00°. Symmetry generates all atoms from Na at (0.000, 0.000, 0.000), As at (0.000, 0.000, 0.500) and Cl at (0.250, 0.250, 0.250).

The uncorrected formation energy comes out at -318 meV per atom. The value obtained for the energy above the most stable polymorph in this dataset is 1.91 eV/f.u. The density is 3.126 g cm⁻³. The size of the total moment is 0.406 μB per atom.

***

Entry 10:
NaAs2Cl8 after structural relaxation, computed with PBE.

The structure belongs to space group C2/m (No. 12); the cell edges are 12.896, 9.553 and 7.152 Å and the angles 90.00°, 107.02° and 90.00°. Symmetry generates all atoms from Na at (0.000, 0.000, 0.000), As at (0.174, 0.000, 0.648), Cl at (0.109, 0.186, 0.786), Cl at (0.154, 0.500, 0.183) and Cl at (0.191, 0.000, 0.312).

The uncorrected formation energy comes out at -732 meV per atom. The density is 1.799 g cm⁻³. The size of the total moment is 0.101 μB per atom.

***

Entry 11:
Na2AsCl5 after structural relaxation, computed with PBE.

The structure belongs to space group Cm (No. 8); the cell edges are 13.319, 7.704 and 7.702 Å and the angles 90.00°, 122.04° and 90.00°. Symmetry generates all atoms from Na at (0.000, 0.000, 0.000), Na at (0.000, 0.500, 0.500), As at (0.479, 0.000, 0.981), Cl at (0.284, 0.000, 0.804), Cl at (0.494, 0.232, 0.762) and Cl at (0.496, 0.232, 0.229).

The uncorrected formation energy comes out at -1181 meV per atom. The value obtained for the energy above the most stable polymorph in this dataset is 0.25 eV/f.u. The density is 1.478 g cm⁻³. The size of the total moment is 0.000 μB per atom.

***

Entry 12:
NaAsCl6 after structural relaxation, computed with PBE.

The structure belongs to space group C2/m (No. 12); the cell edges are 8.108, 11.639 and 6.887 Å and the angles 90.00°, 124.96° and 90.00°. Symmetry generates all atoms from Na at (0.000, 0.000, 0.000), As at (0.000, 0.500, 0.500), Cl at (0.145, 0.361, 0.788) and Cl at (0.220, 0.000, 0.506).

The uncorrected formation energy comes out at -756 meV per atom. The density is 1.937 g cm⁻³. The size of the total moment is 0.000 μB per atom.

***

Repeat the second record exactly.
TeAsN2Cl after structural relaxation, computed with PBE.

The structure belongs to space group P4/mmm (No. 123); the cell edges are 3.832, 3.832 and 6.168 Å and the angles 90.00°, 90.00° and 90.00°. Symmetry generates all atoms from Te at (0.000, 0.000, 0.000), As at (0.000, 0.000, 0.500), N at (0.000, 0.500, 0.500) and Cl at (0.500, 0.500, 0.000).

The uncorrected formation energy comes out at 1285 meV per atom. The value obtained for the energy above the most stable polymorph in this dataset is 0.00 eV/f.u. The density is 4.875 g cm⁻³. The size of the total moment is 0.151 μB per atom.

***

> The highest size of the total moment belongs to which entry?

number 3